VASP calculation (PBE-GGA) on TaTi3Pd2 after structural relaxation.

a = 3.0492 Å, b = 3.0492 Å, c = 10.6512 Å
α = 90.00°, β = 90.00°, γ = 90.00°
Closest atoms and distances in Å follow each position.
Space group P4/mmm (No. 123)
Unique sites:
Ta: 0.0000 0.0000 0.0000 [1 per cell]  8 Ti 2.84, 4 Ta 3.05
Ti: 0.5000 0.5000 0.1738 [2 per cell]  4 Pd 2.72, 4 Ta 2.84
Ti: 0.5000 0.5000 0.5000 [1 per cell]  8 Pd 2.82, 4 Ti 3.05
Pd: 0.0000 0.0000 0.3296 [2 per cell]  8 Ti 2.72-2.82

E ... -8.0153 eV per atom
Formation energy ... -35 kJ per mole of atoms
Mass density ... 9.01 Mg/m³
D(E_F) ... 6.35 states/eV per cell